The following is a DFT calculation (PBE) of a geometry-optimized Ac2PmSn4 structure.

Its spin magnetization is 0.00 μB per cell. The value obtained for the formation energy is -0.540 eV per atom. The final energy comes out at -4.680 eV per atom.

The space group is P2_1/m (No. 11) and the conventional cell measures 6.362, 6.654 and 10.884 Å, with angles of 90.00, 104.56 and 90.00 degrees. The asymmetric unit holds Ac at (0.127, 0.250, 0.412), Ac at (0.329, 0.750, 0.983), Pm at (0.047, 0.250, 0.797), Sn at (0.197, 0.250, 0.108), Sn at (0.330, 0.750, 0.459) and Sn at (0.423, 0.009, 0.715).


The following is a DFT calculation (PBE) of a geometry-optimized Hf3Zn7Ni2 structure.

Its spin magnetization is 5.92 μB per cell. The value obtained for the formation energy is -0.205 eV per atom. The final energy comes out at -4.400 eV per atom.

The space group is R-3m (No. 166, hexagonal axes) and the conventional cell measures 5.0940, 5.0940 and 24.7675 Å, with angles of 90.00, 90.00 and 120.00 degrees. The asymmetric unit holds Hf at (0.0000, 0.0000, 0.0000), Hf at (0.0000, 0.0000, 0.1442), Zn at (0.0000, 0.0000, 0.5000), Zn at (0.0041, 0.5021, 0.9193) and Ni at (0.0000, 0.0000, 0.3341).